Entry w
LiAc2Ho: relaxed, GGA-PBE.

Geometry as extended XYZ:
```
4
Lattice="-0.620 2.105 5.458 -2.542 -3.299 4.154 3.234 -2.210 4.389" Properties=species:S:1:pos:R:3 pbc="T T T"
Li 0.036 -1.702 7.000
Ac 0.054 -2.553 10.501
Ac 0.018 -0.851 3.500
Ho 0.000 0.000 0.000
```

Summary:
Space-group type: Fm-3m

Entry x
LiAc2Ho: relaxed, GGA-PBE.

Geometry as extended XYZ:
```
4
Lattice="-2.596 -1.589 -2.222 1.058 -2.336 -2.761 -1.349 -11.251 6.428" Properties=species:S:1:pos:R:3 pbc="T T T"
Ho -1.443 -7.588 0.722
Ac -1.763 -6.600 -2.806
Ac -1.124 -8.575 4.251
Li 0.000 0.000 0.000
```

Summary:
Space-group type: R-3m

Most stable: entry w

Entry w
AcHoLu2: relaxed, GGA-PBE.

Geometry as extended XYZ:
```
4
Lattice="4.095 0.000 0.000 0.000 4.095 0.000 0.000 0.000 8.019" Properties=species:S:1:pos:R:3 pbc="T T T"
Ho 2.048 2.048 0.000
Lu 0.000 0.000 6.213
Lu 0.000 0.000 1.805
Ac 2.048 2.048 4.009
```

Summary:
Space-group type: P4/mmm

Entry x
AcHoLu2: relaxed, GGA-PBE.

Geometry as extended XYZ:
```
4
Lattice="5.744 0.000 0.000 2.872 4.974 0.000 2.872 1.658 4.690" Properties=species:S:1:pos:R:3 pbc="T T T"
Lu 2.872 1.658 1.172
Lu 8.616 4.974 3.517
Ho 0.000 0.000 0.000
Ac 5.744 3.316 2.345
```

Summary:
Space-group type: Fm-3m

Entry y
AcHoLu2: relaxed, GGA-PBE.

Geometry as extended XYZ:
```
4
Lattice="-0.957 0.557 3.348 -3.327 -0.595 1.005 1.535 -11.839 4.266" Properties=species:S:1:pos:R:3 pbc="T T T"
Ho -1.374 -5.938 4.309
Ac 0.000 0.000 0.000
Lu -3.457 -3.338 5.138
Lu 0.708 -8.538 3.480
```

Summary:
Space-group type: R-3m

Entry z
AcHoLu2: relaxed, GGA-PBE.

Geometry as extended XYZ:
```
4
Lattice="4.993 0.000 0.000 0.000 5.166 0.000 0.000 0.000 5.166" Properties=species:S:1:pos:R:3 pbc="T T T"
Lu 0.000 2.583 0.000
Lu 0.000 0.000 2.583
Ho 2.497 2.583 2.583
Ac 2.497 0.000 0.000
```

Summary:
Space-group type: P4/mmm

Most stable: entry z

Entry w
Ac2HoLu: relaxed, GGA-PBE.

Geometry as extended XYZ:
```
4
Lattice="3.892 0.000 0.000 0.000 3.892 0.000 0.000 0.000 9.741" Properties=species:S:1:pos:R:3 pbc="T T T"
Ho 1.946 1.946 4.870
Lu 1.946 1.946 0.000
Ac 0.000 0.000 2.403
Ac 0.000 0.000 7.338
```

Summary:
Space-group type: P4/mmm

Entry x
Ac2HoLu: relaxed, GGA-PBE.

Geometry as extended XYZ:
```
4
Lattice="-5.443 -2.395 -0.121 -1.798 -3.524 4.441 -4.167 1.893 3.798" Properties=species:S:1:pos:R:3 pbc="T T T"
Lu -5.704 -2.013 4.059
Ac -8.556 -3.020 6.088
Ac -2.852 -1.007 2.029
Ho 0.000 0.000 0.000
```

Summary:
Space-group type: Fm-3m

Most stable: entry w

Entry w
Ac2HoLu: relaxed, GGA-PBE.

Geometry as extended XYZ:
```
4
Lattice="3.785 0.000 0.000 1.893 3.278 0.000 1.893 1.093 11.827" Properties=species:S:1:pos:R:3 pbc="T T T"
Lu 0.000 0.000 0.000
Ho 3.785 2.185 5.913
Ac 5.678 3.278 8.897
Ac 1.893 1.093 2.930
```

Summary:
Space-group type: R-3m

Entry x
Ac2HoLu: relaxed, GGA-PBE.

Geometry as extended XYZ:
```
4
Lattice="-1.759 -1.808 -4.161 5.108 -1.265 -1.610 -0.484 -4.950 2.356" Properties=species:S:1:pos:R:3 pbc="T T T"
Ac -0.242 -2.475 1.178
Ac 2.554 -0.633 -0.805
Ho -0.880 -0.904 -2.080
Lu 1.433 -4.012 -1.707
```

Summary:
Space-group type: P4/mmm

Most stable: entry x

Entry w
AcHo2Lu: relaxed, GGA-PBE.

Geometry as extended XYZ:
```
4
Lattice="-1.218 -5.023 -0.533 4.880 -1.261 0.731 -0.836 -0.329 5.013" Properties=species:S:1:pos:R:3 pbc="T T T"
Ho -0.418 -0.165 2.507
Ho 2.440 -0.630 0.366
Ac -0.609 -2.511 -0.266
Lu 1.413 -3.306 2.606
```

Summary:
Space-group type: P4/mmm

Entry x
AcHo2Lu: relaxed, GGA-PBE.

Geometry as extended XYZ:
```
4
Lattice="4.038 0.000 0.000 0.000 4.038 0.000 0.000 0.000 8.440" Properties=species:S:1:pos:R:3 pbc="T T T"
Ho 0.000 0.000 1.825
Ho 0.000 0.000 6.615
Lu 2.019 2.019 0.000
Ac 2.019 2.019 4.220
```

Summary:
Space-group type: P4/mmm

Most stable: entry w

Entry w
AcHoMg: relaxed, GGA-PBE.

Geometry as extended XYZ:
```
6
Lattice="-4.830 -1.448 0.446 1.509 -4.733 0.980 0.225 1.746 8.106" Properties=species:S:1:pos:R:3 pbc="T T T"
Mg -2.586 -4.995 2.516
Mg -0.808 -1.004 5.997
Ac -2.492 -4.272 5.891
Ac -0.903 -1.731 2.623
Ho -3.170 -1.307 8.176
Ho 0.000 -2.950 8.443
```

Summary:
Space-group type: P4/nmm

Entry x
AcHoMg: relaxed, GGA-PBE.

Geometry as extended XYZ:
```
3
Lattice="3.642 0.000 0.000 0.000 5.647 0.000 0.000 -2.823 4.890" Properties=species:S:1:pos:R:3 pbc="T T T"
Mg 0.448 0.000 0.000
Ac 2.463 0.000 3.260
Ho 0.732 2.823 1.630
```

Summary:
Space-group type: P3m1

Entry y
AcHoMg: relaxed, GGA-PBE.

Geometry as extended XYZ:
```
6
Lattice="4.829 0.000 0.000 0.000 4.829 0.000 0.000 0.000 8.948" Properties=species:S:1:pos:R:3 pbc="T T T"
Ho 0.000 2.414 6.875
Ho 2.414 0.000 2.074
Ac 2.414 0.000 5.826
Ac 0.000 2.414 3.122
Mg 2.414 2.414 0.000
Mg 0.000 0.000 0.000
```

Summary:
Space-group type: P4/nmm

Entry z
AcHoMg: relaxed, GGA-PBE.

Geometry as extended XYZ:
```
3
Lattice="3.919 0.000 0.000 0.000 3.919 0.000 -1.959 -1.959 6.504" Properties=species:S:1:pos:R:3 pbc="T T T"
Ac 0.000 0.000 0.073
Ho 0.000 0.000 4.084
Mg 1.959 1.959 2.347
```

Summary:
Space-group type: I4mm

Most stable: entry z

Entry w
AcHoN: relaxed, GGA-PBE.

Geometry as extended XYZ:
```
3
Lattice="3.390 0.000 0.000 0.000 3.390 0.000 -1.695 -1.695 7.204" Properties=species:S:1:pos:R:3 pbc="T T T"
Ho 1.695 1.695 1.290
N 0.000 0.000 1.715
Ac 0.000 0.000 4.199
```

Summary:
Space-group type: I4mm

Entry x
AcHoN: relaxed, GGA-PBE.

Geometry as extended XYZ:
```
3
Lattice="-2.822 -1.656 -1.575 3.334 -1.407 -0.308 -1.004 -3.601 5.585" Properties=species:S:1:pos:R:3 pbc="T T T"
N 0.657 -3.733 2.747
Ho -1.246 -3.279 1.493
Ac -0.907 -3.254 5.047
```

Summary:
Space-group type: P3m1

Most stable: entry x

Entry w
NaAcHo: relaxed, GGA-PBE.

Geometry as extended XYZ:
```
3
Lattice="-0.953 2.857 -2.232 -1.544 -0.317 3.401 6.956 5.163 3.639" Properties=species:S:1:pos:R:3 pbc="T T T"
Ho 3.246 4.150 3.926
Na 6.891 5.114 3.605
Ac 1.279 3.601 0.916
```

Summary:
Space-group type: P3m1

Entry x
NaAcHo: relaxed, GGA-PBE.

Geometry as extended XYZ:
```
3
Lattice="3.730 0.000 0.000 0.000 3.730 0.000 -1.865 -1.865 8.210" Properties=species:S:1:pos:R:3 pbc="T T T"
Na 0.000 0.000 0.108
Ho 1.865 1.865 2.776
Ac 0.000 0.000 5.326
```

Summary:
Space-group type: I4mm

Most stable: entry w

Entry w
Ac2NdHo: relaxed, GGA-PBE.

Geometry as extended XYZ:
```
4
Lattice="-3.691 0.084 0.999 -2.700 -0.810 -2.586 -1.560 -12.032 2.570" Properties=species:S:1:pos:R:3 pbc="T T T"
Nd -3.974 -6.414 0.501
Ac -1.990 -3.134 0.231
Ac -1.700 -9.134 1.808
Ho -5.822 -12.487 1.504
```

Summary:
Space-group type: R3m

Entry x
Ac2NdHo: relaxed, GGA-PBE.

Geometry as extended XYZ:
```
4
Lattice="-3.416 -1.679 -0.447 -1.051 -4.775 -6.838 4.031 -1.113 6.210" Properties=species:S:1:pos:R:3 pbc="T T T"
Ho -0.827 -3.024 1.032
Ac 0.355 -4.571 -2.164
Ac 1.188 -3.581 4.137
Nd 2.371 -5.128 0.941
```

Summary:
Space-group type: P2/m

Entry y
Ac2NdHo: relaxed, GGA-PBE.

Geometry as extended XYZ:
```
4
Lattice="-4.886 -2.872 -2.072 -3.429 -3.228 3.773 -5.509 1.957 1.493" Properties=species:S:1:pos:R:3 pbc="T T T"
Ac -3.456 -1.036 0.799
Ac -10.368 -3.107 2.396
Ho -6.912 -2.071 1.597
Nd 0.000 0.000 0.000
```

Summary:
Space-group type: Fm-3m

Entry z
Ac2NdHo: relaxed, GGA-PBE.

Geometry as extended XYZ:
```
4
Lattice="-2.647 -1.840 1.870 -2.572 -1.959 -1.855 6.007 -11.906 0.501" Properties=species:S:1:pos:R:3 pbc="T T T"
Nd 0.394 -7.853 0.258
Ac 3.972 -9.111 0.371
Ac -3.185 -6.594 0.146
Ho 0.000 0.000 0.000
```

Summary:
Space-group type: R-3m

Most stable: entry x

Entry w
Ac2NdHo: relaxed, GGA-PBE.

Geometry as extended XYZ:
```
4
Lattice="-0.659 0.156 3.818 3.726 -0.834 0.677 2.245 10.011 -0.021" Properties=species:S:1:pos:R:3 pbc="T T T"
Ac 0.549 2.447 -0.005
Ac 1.697 7.564 -0.016
Ho 1.533 -0.339 2.247
Nd 2.656 4.666 2.237
```

Summary:
Space-group type: P4/mmm

Entry x
Ac2NdHo: relaxed, GGA-PBE.

Geometry as extended XYZ:
```
4
Lattice="5.225 0.000 0.000 0.000 5.428 0.000 0.000 0.000 5.428" Properties=species:S:1:pos:R:3 pbc="T T T"
Ho 2.612 2.714 2.714
Ac 0.000 0.000 2.714
Ac 0.000 2.714 0.000
Nd 2.612 0.000 0.000
```

Summary:
Space-group type: P4/mmm

Most stable: entry x

Entry w
AcNd3Ho2: relaxed, GGA-PBE.

Geometry as extended XYZ:
```
6
Lattice="-1.159 0.088 3.342 5.512 -2.071 1.967 1.020 10.318 -1.792" Properties=species:S:1:pos:R:3 pbc="T T T"
Ac 0.000 0.000 0.000
Nd 1.224 3.572 0.330
Nd 2.756 -1.035 0.983
Nd 4.149 4.763 3.186
Ho 2.309 6.738 0.623
Ho 3.064 1.598 2.894
```

Summary:
Space-group type: Immm

Entry x
AcNd3Ho2: relaxed, GGA-PBE.

Geometry as extended XYZ:
```
12
Lattice="6.479 1.954 0.957 1.053 6.684 0.957 2.700 3.097 10.878" Properties=species:S:1:pos:R:3 pbc="T T T"
Nd 4.110 4.675 6.993
Nd 7.510 8.575 11.238
Nd 5.807 3.902 3.676
Nd 6.122 7.059 5.799
Nd 4.425 7.833 9.116
Nd 2.722 3.160 1.554
Ac 7.168 5.441 9.116
Ac 3.064 6.293 3.676
Ho 2.377 2.722 4.869
Ho 7.855 9.012 7.923
Ho 6.509 7.460 2.484
Ho 3.723 4.274 10.308
```

Summary:
Space-group type: C2/c

Most stable: entry x